Entry 1:
Here is an optimized crystal structure of YTaSe2Br from Alexandria. Energies are from PBE.

Its formation energy from raw total energies is -0.345 eV per atom. The excess energy over the best structure of this formula in the dataset comes out at 0 meV per atom. The total magnetization comes out at 1.1 μB/cell. As for the density of states at the Fermi level: 4.1 states/eV/cell. As for the crystal system: tetragonal.

CIF file:
```
data_YTaSe2Br
_cell_length_a 5.042
_cell_length_b 5.042
_cell_length_c 5.085
_cell_angle_alpha 90.00
_cell_angle_beta 90.00
_cell_angle_gamma 90.00
_symmetry_space_group_name_H-M 'P 4/m m m'
_symmetry_Int_Tables_number 123
_symmetry_space_group_name_Hall '-P 4 2'
loop_
_atom_site_label
_atom_site_type_symbol
_atom_site_fract_x
_atom_site_fract_y
_atom_site_fract_z
Y1 Y 0.000 0.000 0.000
Ta1 Ta 0.500 0.500 0.500
Se1 Se 0.000 0.500 0.500
Br1 Br 0.500 0.500 0.000
```



Entry 2:
Here is an optimized crystal structure of Na2CdSnAu6 from Alexandria. Energies are from PBE.

The total magnetization comes out at 0.0 μB/cell. As for the calculated formation energy: 10 kJ per mole of atoms. As for the density of states at the Fermi level: 8.8 states/eV/cell. As for the crystal system: cubic.

CIF file:
```
data_Na2CdSnAu6
_cell_length_a 10.542
_cell_length_b 10.542
_cell_length_c 10.542
_cell_angle_alpha 90.00
_cell_angle_beta 90.00
_cell_angle_gamma 90.00
_symmetry_space_group_name_H-M 'F m -3 m'
_symmetry_Int_Tables_number 225
_symmetry_space_group_name_Hall '-F 4 2 3'
loop_
_atom_site_label
_atom_site_type_symbol
_atom_site_fract_x
_atom_site_fract_y
_atom_site_fract_z
Na1 Na 0.250 0.250 0.250
Cd1 Cd 0.000 0.000 0.000
Sn1 Sn 0.000 0.000 0.500
Au1 Au 0.000 0.000 0.250
```



Entry 3:
Here is an optimized crystal structure of LiAsPt2 from Alexandria. Energies are from PBE.

The total magnetization comes out at 0.0 μB/cell. As for the calculated formation energy: -42 kJ per mole of atoms. As for the density of states at the Fermi level: 4.5 states/eV/cell. As for the crystal system: monoclinic.

CIF file:
```
data_LiAsPt2
_cell_length_a 8.749
_cell_length_b 3.351
_cell_length_c 4.296
_cell_angle_alpha 90.00
_cell_angle_beta 107.64
_cell_angle_gamma 90.00
_symmetry_space_group_name_H-M 'C 1 m 1'
_symmetry_Int_Tables_number 8
loop_
_symmetry_equiv_pos_as_xyz
'x,y,z'
'x,-y,z'
'x+1/2,y+1/2,z'
'x+1/2,-y+1/2,z'
loop_
_atom_site_label
_atom_site_type_symbol
_atom_site_fract_x
_atom_site_fract_y
_atom_site_fract_z
Li1 Li 0.000 0.000 0.000
As1 As 0.269 0.500 0.327
Pt1 Pt 0.002 0.500 0.487
Pt2 Pt 0.257 0.000 0.859
```



Entry 4:
Here is an optimized crystal structure of Pm8Si3HI4 from Alexandria. Energies are from PBE.

The total magnetization comes out at 0.0 μB/cell. The calculation puts the energy at -4.8039 eV per atom. As for the density of states at the Fermi level: 23.1 states/eV/cell. As for the crystal system: trigonal.

CIF file:
```
data_Pm8Si3HI4
_cell_length_a 8.3953
_cell_length_b 8.3953
_cell_length_c 23.0059
_cell_angle_alpha 90.00
_cell_angle_beta 90.00
_cell_angle_gamma 120.00
_symmetry_space_group_name_H-M 'R -3 m'
_symmetry_Int_Tables_number 166
_symmetry_space_group_name_Hall '-R 3 2"'
loop_
_atom_site_label
_atom_site_type_symbol
_atom_site_fract_x
_atom_site_fract_y
_atom_site_fract_z
Pm1 Pm 0.0000 0.0000 0.2331
Pm2 Pm 0.0054 0.5027 0.2314
Si1 Si 0.0000 0.5000 0.5000
H1 H 0.0000 0.0000 0.5000
I1 I 0.0000 0.0000 0.0000
I2 I 0.0000 0.5000 0.0000
```



Entry 5:
Here is an optimized crystal structure of K3InAg8 from Alexandria. Energies are from PBE.

The total magnetization comes out at 0.0 μB/cell. As for the calculated formation energy: 1 kJ per mole of atoms. As for the density of states at the Fermi level: 13.9 states/eV/cell. As for the crystal system: trigonal.

CIF file:
```
data_K3InAg8
_cell_length_a 5.8852
_cell_length_b 5.8852
_cell_length_c 28.3439
_cell_angle_alpha 90.00
_cell_angle_beta 90.00
_cell_angle_gamma 120.00
_symmetry_space_group_name_H-M 'R 3 m'
_symmetry_Int_Tables_number 160
_symmetry_space_group_name_Hall 'R 3 -2"'
loop_
_atom_site_label
_atom_site_type_symbol
_atom_site_fract_x
_atom_site_fract_y
_atom_site_fract_z
K1 K 0.0000 0.0000 0.0000
K2 K 0.0000 0.0000 0.1267
K3 K 0.0000 0.0000 0.5027
In1 In 0.0000 0.0000 0.6269
Ag1 Ag 0.0000 0.0000 0.3129
Ag2 Ag 0.0000 0.0000 0.8137
Ag3 Ag 0.0026 0.5013 0.5663
Ag4 Ag 0.1695 0.3389 0.3933
```



Entry 6:
Here is an optimized crystal structure of ZrRhSN2 from Alexandria. Energies are from PBE.

Its formation energy from raw total energies is 0.793 eV per atom. The total magnetization comes out at 1.2 μB/cell. As for the density of states at the Fermi level: 5.8 states/eV/cell. As for the crystal system: tetragonal.

CIF file:
```
data_ZrRhSN2
_cell_length_a 4.074
_cell_length_b 4.074
_cell_length_c 5.233
_cell_angle_alpha 90.00
_cell_angle_beta 90.00
_cell_angle_gamma 90.00
_symmetry_space_group_name_H-M 'P 4/m m m'
_symmetry_Int_Tables_number 123
_symmetry_space_group_name_Hall '-P 4 2'
loop_
_atom_site_label
_atom_site_type_symbol
_atom_site_fract_x
_atom_site_fract_y
_atom_site_fract_z
Zr1 Zr 0.000 0.000 0.000
Rh1 Rh 0.500 0.500 0.500
S1 S 0.000 0.000 0.500
N1 N 0.000 0.500 0.000
```



Entry 7:
Here is an optimized crystal structure of V12Ga3Co from Alexandria. Energies are from PBE.

The total magnetization comes out at 0.0 μB/cell. As for the calculated formation energy: -18 kJ per mole of atoms. As for the density of states at the Fermi level: 22.1 states/eV/cell. As for the crystal system: orthorhombic.

CIF file:
```
data_V12Ga3Co
_cell_length_a 4.731
_cell_length_b 4.737
_cell_length_c 9.538
_cell_angle_alpha 90.00
_cell_angle_beta 90.00
_cell_angle_gamma 90.00
_symmetry_space_group_name_H-M 'P m m m'
_symmetry_Int_Tables_number 47
loop_
_symmetry_equiv_pos_as_xyz
'x,y,z'
'-x,-y,-z'
'-x,-y,z'
'x,y,-z'
'x,-y,-z'
'-x,y,z'
'-x,y,-z'
'x,-y,z'
loop_
_atom_site_label
_atom_site_type_symbol
_atom_site_fract_x
_atom_site_fract_y
_atom_site_fract_z
V1 V 0.000 0.000 0.116
V2 V 0.000 0.000 0.369
V3 V 0.244 0.500 0.500
V4 V 0.256 0.500 0.000
V5 V 0.500 0.244 0.243
Ga1 Ga 0.000 0.500 0.250
Ga2 Ga 0.500 0.000 0.500
Co1 Co 0.500 0.000 0.000
```



Entry 8:
Here is an optimized crystal structure of NiC from Alexandria. Energies are from PBE.

The total magnetization comes out at 0.0 μB/cell. As for the calculated formation energy: 95 kJ per mole of atoms. As for the density of states at the Fermi level: 5.8 states/eV/cell. As for the crystal system: orthorhombic.

CIF file:
```
data_NiC
_cell_length_a 3.137
_cell_length_b 10.043
_cell_length_c 4.120
_cell_angle_alpha 90.00
_cell_angle_beta 90.00
_cell_angle_gamma 90.00
_symmetry_space_group_name_H-M 'P m m n'
_symmetry_Int_Tables_number 59
loop_
_symmetry_equiv_pos_as_xyz
'x,y,z'
'-x,-y,-z'
'-x+1/2,-y+1/2,z'
'x+1/2,y+1/2,-z'
'x+1/2,-y,-z'
'-x+1/2,y,z'
'-x,y+1/2,-z'
'x,-y+1/2,z'
loop_
_atom_site_label
_atom_site_type_symbol
_atom_site_fract_x
_atom_site_fract_y
_atom_site_fract_z
Ni1 Ni 0.250 0.087 0.092
Ni2 Ni 0.250 0.750 0.437
C1 C 0.250 0.250 0.306
C2 C 0.250 0.606 0.152
```



Entry 9:
Here is an optimized crystal structure of TePbAu2S4 from Alexandria. Energies are from PBE.

Its formation energy from raw total energies is 0.002 eV per atom. The total magnetization comes out at 0.0 μB/cell. As for the density of states at the Fermi level: 17.9 states/eV/cell. As for the crystal system: monoclinic.

CIF file:
```
data_TePbAu2S4
_cell_length_a 11.130
_cell_length_b 10.590
_cell_length_c 8.349
_cell_angle_alpha 90.00
_cell_angle_beta 131.37
_cell_angle_gamma 90.00
_symmetry_space_group_name_H-M 'C 1 2/c 1'
_symmetry_Int_Tables_number 15
loop_
_symmetry_equiv_pos_as_xyz
'x,y,z'
'-x,-y,-z'
'-x,y,-z+1/2'
'x,-y,z+1/2'
'x+1/2,y+1/2,z'
'-x+1/2,-y+1/2,-z'
'-x+1/2,y+1/2,-z+1/2'
'x+1/2,-y+1/2,z+1/2'
loop_
_atom_site_label
_atom_site_type_symbol
_atom_site_fract_x
_atom_site_fract_y
_atom_site_fract_z
Te1 Te 0.000 0.000 0.000
Pb1 Pb 0.250 0.250 0.000
Au1 Au 0.000 0.500 0.000
Au2 Au 0.250 0.250 0.500
S1 S 0.035 0.261 0.528
S2 S 0.213 0.477 0.384
```



Entry 10:
Here is an optimized crystal structure of Pm5DyPb6 from Alexandria. Energies are from PBE.

The excess energy over the best structure of this formula in the dataset comes out at 0 meV per atom. The total magnetization comes out at 0.0 μB/cell. As for the calculated formation energy: -47 kJ per mole of atoms. As for the density of states at the Fermi level: 23.3 states/eV/cell. As for the crystal system: monoclinic.

CIF file:
```
data_Pm5DyPb6
_cell_length_a 16.132
_cell_length_b 9.145
_cell_length_c 5.027
_cell_angle_alpha 90.00
_cell_angle_beta 108.03
_cell_angle_gamma 90.00
_symmetry_space_group_name_H-M 'C 1 2/m 1'
_symmetry_Int_Tables_number 12
loop_
_symmetry_equiv_pos_as_xyz
'x,y,z'
'-x,-y,-z'
'-x,y,-z'
'x,-y,z'
'x+1/2,y+1/2,z'
'-x+1/2,-y+1/2,-z'
'-x+1/2,y+1/2,-z'
'x+1/2,-y+1/2,z'
loop_
_atom_site_label
_atom_site_type_symbol
_atom_site_fract_x
_atom_site_fract_y
_atom_site_fract_z
Pm1 Pm 0.000 0.000 0.000
Pm2 Pm 0.165 0.500 0.665
Pm3 Pm 0.167 0.000 0.667
Dy1 Dy 0.000 0.500 0.000
Pb1 Pb 0.000 0.252 0.500
Pb2 Pb 0.166 0.251 0.166
```



Entry 11:
Here is an optimized crystal structure of AsPC from Alexandria. Energies are from PBE.

The excess energy over the best structure of this formula in the dataset comes out at 10 meV per atom. The total magnetization comes out at 0.0 μB/cell. As for the calculated formation energy: 38 kJ per mole of atoms. As for the density of states at the Fermi level: 0.0 states/eV/cell. As for the crystal system: monoclinic.

CIF file:
```
data_AsPC
_cell_length_a 4.230
_cell_length_b 4.223
_cell_length_c 5.770
_cell_angle_alpha 90.00
_cell_angle_beta 90.06
_cell_angle_gamma 90.00
_symmetry_space_group_name_H-M 'P 1 21 1'
_symmetry_Int_Tables_number 4
loop_
_symmetry_equiv_pos_as_xyz
'x,y,z'
'-x,y+1/2,-z'
loop_
_atom_site_label
_atom_site_type_symbol
_atom_site_fract_x
_atom_site_fract_y
_atom_site_fract_z
As1 As 0.053 0.000 0.275
P1 P 0.459 0.595 0.304
C1 C 0.262 0.306 0.500
```



What is the formula in the ninth record? TePbAu2S4



What is the total magnetization in the fifth record? 0.0 μB/cell



What is the formula in the tenth record? Pm5DyPb6